Density functional theory data (PBE-GGA) for a relaxed Sc2VFe crystal.

total DFT energy (no corrections): -7.3888 eV/atom
N(E_F): 6.25 states/eV per cell
symmetry: Fm-3m, No. 225
ΔE to the lowest computed polymorph: 0 meV/atom

Cell lengths 4.5857, 4.5857, 4.5857 Å; angles 60.00, 60.00, 60.00 degrees
With the nearest neighbours (Å) after each atom.
Sites, in units of the cell vectors:
1 Sc 0.2500 0.2500 0.2500  4 Fe 2.81, 4 V 2.81
2 V 0.0000 0.0000 0.0000  8 Sc 2.81
3 Fe 0.5000 0.5000 0.5000  8 Sc 2.81
4 Sc 0.7500 0.7500 0.7500  4 Fe 2.81, 4 V 2.81